Record 1
Here is a geometry-optimized LiSm2Si4Pd3 structure from Alexandria. Energies are from PBE-GGA.

Cell and atoms, written as POSCAR:
```
LiSm2Si4Pd3
1.0
-2.071 3.561 -0.751
-3.593 -2.138 -0.225
-1.388 1.288 9.942
Si Pd Li Sm
4 3 1 2
Direct
0.500 0.500 0.000 Si
0.000 0.500 0.363 Si
0.000 0.000 0.000 Si
0.500 0.000 0.637 Si
0.000 0.500 0.122 Pd
0.000 0.000 0.500 Pd
0.500 0.000 0.878 Pd
0.500 0.500 0.500 Li
0.000 0.500 0.750 Sm
0.500 0.000 0.250 Sm
```

VASP energy in eV per cell: -56.53
Formation energy from raw total energies in meV per atom: -790.5

***

Record 2
Here is a geometry-optimized LiSmSi2Pd2 structure from Alexandria. Energies are from PBE-GGA.

Cell and atoms, written as POSCAR:
```
LiSmSi2Pd2
1.0
4.195 0.000 0.000
-2.098 3.633 0.000
0.000 0.000 6.753
Sm Pd Si Li
1 2 2 1
Direct
0.000 0.000 0.000 Sm
0.667 0.333 0.354 Pd
0.333 0.667 0.646 Pd
0.333 0.667 0.278 Si
0.667 0.333 0.722 Si
0.000 0.000 0.500 Li
```

VASP energy in eV per cell: -32.70
Formation energy from raw total energies in meV per atom: -806.6

***

Record 3
Here is a geometry-optimized LiSmSi2Pd5 structure from Alexandria. Energies are from PBE-GGA.

Cell and atoms, written as POSCAR:
```
LiSmSi2Pd5
1.0
4.122 0.000 0.000
0.000 4.122 0.000
0.000 0.000 9.089
Pd Si Sm Li
5 2 1 1
Direct
0.500 0.500 0.500 Pd
0.000 0.500 0.740 Pd
0.500 0.000 0.740 Pd
0.500 0.000 0.260 Pd
0.000 0.500 0.260 Pd
0.500 0.500 0.873 Si
0.500 0.500 0.127 Si
0.000 0.000 0.500 Sm
0.000 0.000 0.000 Li
```

VASP energy in eV per cell: -49.77
Formation energy from raw total energies in meV per atom: -703.2

***

Record 4
Here is a geometry-optimized LiSmSiPd structure from Alexandria. Energies are from PBE-GGA.

Cell and atoms, written as POSCAR:
```
LiSmSiPd
1.0
4.633 0.000 0.000
2.317 4.012 0.000
2.317 1.337 3.783
Li Sm Si Pd
1 1 1 1
Direct
0.750 0.750 0.750 Li
0.500 0.500 0.500 Sm
0.000 0.000 0.000 Si
0.250 0.250 0.250 Pd
```

VASP energy in eV per cell: -19.81
Formation energy from raw total energies in meV per atom: -641.5